# 1
Computed, not measured: a geometry-optimized SmTmSiGe structure at the PBE level of DFT.

Its magnetization is 0.00 μB per cell. The electronic total energy is -5.61 eV/atom.

Cell lengths 3.9168, 4.3131, 10.6840 Å; angles 90.00, 90.00, 90.00 degrees
With the nearest neighbours (Å) after each atom.
Space group Amm2 (No. 38)
One atom of each set of equivalent atoms:
Sm 0.0000 0.0000 0.0000  3 Si 2.97-3.21, 4 Ge 2.99
Tm 0.5000 0.0000 0.2784  4 Si 2.97, 3 Ge 3.03-3.16
Si 0.0000 0.0000 0.7222  2 Ge 2.60
Ge 0.5000 0.0000 0.5618  2 Si 2.60

***

# 2
Computed, not measured: a geometry-optimized GaHg2Pb2 structure at the PBE level of DFT.

The calculation puts the energy above the most stable polymorph in this dataset at 85.6 meV per atom. Its magnetization is 0.00 μB per cell. The calculation puts the formation energy at 0.138 eV per atom. The electronic total energy is -2.07 eV/atom.

Cell lengths 7.9383, 7.9383, 4.6154 Å; angles 90.00, 90.00, 90.00 degrees
With the nearest neighbours (Å) after each atom.
Space group P4/mbm (No. 127)
One atom of each set of equivalent atoms:
Ga 0.0000 0.0000 0.0000  4 Pb 3.00
Hg 0.1529 0.3471 0.5000  6 Pb 3.16-3.36, 1 Hg 3.43
Pb 0.1548 0.6548 0.0000  2 Ga 3.00, 6 Hg 3.16-3.36

***

# 3
Computed, not measured: a geometry-optimized Mg3CdSn2 structure at the PBE level of DFT.

The calculation puts the energy above the most stable polymorph in this dataset at 0.0 meV per atom. Its magnetization is 0.00 μB per cell. The calculation puts the formation energy at -0.119 eV per atom. The electronic total energy is -2.40 eV/atom.

Cell lengths 4.6210, 14.0126, 4.2923 Å; angles 90.00, 90.00, 90.00 degrees
With the nearest neighbours (Å) after each atom.
Space group Cmmm (No. 65)
One atom of each set of equivalent atoms:
Mg 0.0000 0.0000 0.0000  4 Sn 3.13, 4 Cd 3.15, 4 Mg 3.28
Mg 0.0000 0.3341 0.0000  6 Sn 3.15-3.23, 2 Cd 3.16, 4 Mg 3.28-3.30
Cd 0.0000 0.5000 0.5000  8 Mg 3.15-3.16, 4 Sn 3.24
Sn 0.0000 0.1623 0.5000  8 Mg 3.13-3.23, 2 Cd 3.24, 2 Sn 3.37

***

# 4
Computed, not measured: a geometry-optimized Li2SiPb structure at the PBE level of DFT.

The calculation puts the energy above the most stable polymorph in this dataset at 156.9 meV per atom. Its magnetization is 0.00 μB per cell. The electronic total energy is -3.17 eV/atom.

Cell lengths 4.1663, 4.1663, 19.0034 Å; angles 90.00, 90.00, 90.00 degrees
With the nearest neighbours (Å) after each atom.
Space group I-42d (No. 122)
One atom of each set of equivalent atoms:
Li 0.2179 0.2500 0.1250  2 Si 2.75, 2 Li 2.76, 2 Pb 2.85
Si 0.0000 0.0000 0.0000  4 Li 2.75, 4 Pb 2.95
Pb 0.0000 0.0000 0.5000  4 Li 2.85, 4 Si 2.95